Entry 1:
# Tb14SmHf | the Alexandria database | PBE | relaxed
# **Volume**: 31.19 Å³/atom
# **Magnetic moment**: 0.00 μB/f.u.
# **DFT formation energy**: 0.05 eV per atom
# **Theoretical density**: 8.50 g cm⁻³
data_Tb14SmHf
_chemical_formula_sum 'Tb14 Sm1 Hf1'
_cell_length_a 7.074
_cell_length_b 7.074
_cell_length_c 9.971
_cell_angle_alpha 90.00
_cell_angle_beta 90.00
_cell_angle_gamma 90.00
_symmetry_space_group_name_H-M 'P 4/m m m'
_symmetry_Int_Tables_number 123
_symmetry_space_group_name_Hall '-P 4 2'
loop_
_atom_site_label
_atom_site_fract_x
_atom_site_fract_y
_atom_site_fract_z
Tb1 0.000 0.000 0.000
Tb2 0.000 0.500 0.000
Tb3 0.000 0.500 0.500
Tb4 0.244 0.244 0.256
Tb5 0.500 0.500 0.000
Sm1 0.500 0.500 0.500
Hf1 0.000 0.000 0.500

Entry 2:
# TbSm2Hf | the Alexandria database | PBE | relaxed
# **Volume**: 29.64 Å³/atom
# **ΔE to the lowest computed polymorph**: 0.0 meV per atom
# **Magnetic moment**: 0.00 μB/f.u.
# **DFT formation energy**: 0.15 eV per atom
# **Theoretical density**: 8.94 g cm⁻³
data_TbSm2Hf
_chemical_formula_sum 'Tb3 Sm6 Hf3'
_cell_length_a 3.4721
_cell_length_b 3.4721
_cell_length_c 34.0732
_cell_angle_alpha 90.00
_cell_angle_beta 90.00
_cell_angle_gamma 120.00
_symmetry_space_group_name_H-M 'R 3 m'
_symmetry_Int_Tables_number 160
_symmetry_space_group_name_Hall 'R 3 -2"'
loop_
_atom_site_label
_atom_site_fract_x
_atom_site_fract_y
_atom_site_fract_z
Tb1 0.0000 0.0000 0.0000
Sm1 0.0000 0.0000 0.2438
Sm2 0.0000 0.0000 0.4214
Hf1 0.0000 0.0000 0.8326

Entry 3:
# TbSm2Hf | the Alexandria database | PBE | relaxed
# **Volume**: 29.45 Å³/atom
# **ΔE to the lowest computed polymorph**: 17.8 meV per atom
# **Magnetic moment**: 0.00 μB/f.u.
# **DFT formation energy**: 0.16 eV per atom
# **Theoretical density**: 8.99 g cm⁻³
data_TbSm2Hf
_chemical_formula_sum 'Tb1 Sm2 Hf1'
_cell_length_a 4.914
_cell_length_b 4.914
_cell_length_c 4.879
_cell_angle_alpha 90.00
_cell_angle_beta 90.00
_cell_angle_gamma 90.00
_symmetry_space_group_name_H-M 'P 4/m m m'
_symmetry_Int_Tables_number 123
_symmetry_space_group_name_Hall '-P 4 2'
loop_
_atom_site_label
_atom_site_fract_x
_atom_site_fract_y
_atom_site_fract_z
Tb1 0.000 0.000 0.000
Sm1 0.000 0.500 0.500
Hf1 0.500 0.500 0.000

Entry 4:
# Tb2SmHf | the Alexandria database | PBE | relaxed
# **Volume**: 29.05 Å³/atom
# **ΔE to the lowest computed polymorph**: 35.1 meV per atom
# **Magnetic moment**: 0.00 μB/f.u.
# **DFT formation energy**: 0.16 eV per atom
# **Theoretical density**: 9.24 g cm⁻³
data_Tb2SmHf
_chemical_formula_sum 'Tb2 Sm1 Hf1'
_cell_length_a 4.872
_cell_length_b 4.872
_cell_length_c 4.894
_cell_angle_alpha 90.00
_cell_angle_beta 90.00
_cell_angle_gamma 90.00
_symmetry_space_group_name_H-M 'P 4/m m m'
_symmetry_Int_Tables_number 123
_symmetry_space_group_name_Hall '-P 4 2'
loop_
_atom_site_label
_atom_site_fract_x
_atom_site_fract_y
_atom_site_fract_z
Tb1 0.000 0.500 0.000
Sm1 0.000 0.000 0.500
Hf1 0.500 0.500 0.500

Entry 5:
# TbSm2Hf | the Alexandria database | PBE | relaxed
# **Volume**: 29.75 Å³/atom
# **ΔE to the lowest computed polymorph**: 74.4 meV per atom
# **Magnetic moment**: 0.00 μB/f.u.
# **DFT formation energy**: 0.22 eV per atom
# **Theoretical density**: 8.91 g cm⁻³
data_TbSm2Hf
_chemical_formula_sum 'Tb1 Sm2 Hf1'
_cell_length_a 4.030
_cell_length_b 4.030
_cell_length_c 7.325
_cell_angle_alpha 90.00
_cell_angle_beta 90.00
_cell_angle_gamma 90.00
_symmetry_space_group_name_H-M 'P 4/m m m'
_symmetry_Int_Tables_number 123
_symmetry_space_group_name_Hall '-P 4 2'
loop_
_atom_site_label
_atom_site_fract_x
_atom_site_fract_y
_atom_site_fract_z
Tb1 0.000 0.000 0.000
Sm1 0.500 0.500 0.277
Hf1 0.000 0.000 0.500

Entry 6:
# Tb2SmHf | the Alexandria database | PBE | relaxed
# **Volume**: 29.56 Å³/atom
# **ΔE to the lowest computed polymorph**: 105.1 meV per atom
# **Magnetic moment**: 0.00 μB/f.u.
# **DFT formation energy**: 0.23 eV per atom
# **Theoretical density**: 9.08 g cm⁻³
data_Tb2SmHf
_chemical_formula_sum 'Tb2 Sm1 Hf1'
_cell_length_a 4.004
_cell_length_b 4.004
_cell_length_c 7.375
_cell_angle_alpha 90.00
_cell_angle_beta 90.00
_cell_angle_gamma 90.00
_symmetry_space_group_name_H-M 'P 4/m m m'
_symmetry_Int_Tables_number 123
_symmetry_space_group_name_Hall '-P 4 2'
loop_
_atom_site_label
_atom_site_fract_x
_atom_site_fract_y
_atom_site_fract_z
Tb1 0.000 0.000 0.219
Sm1 0.500 0.500 0.500
Hf1 0.500 0.500 0.000

Entry 7:
# TbSm2Hf | the Alexandria database | PBE | relaxed
# **Volume**: 29.86 Å³/atom
# **ΔE to the lowest computed polymorph**: 229.7 meV per atom
# **Magnetic moment**: 0.00 μB/f.u.
# **DFT formation energy**: 0.38 eV per atom
# **Theoretical density**: 8.87 g cm⁻³
data_TbSm2Hf
_chemical_formula_sum 'Tb3 Sm6 Hf3'
_cell_length_a 3.3721
_cell_length_b 3.3721
_cell_length_c 36.3816
_cell_angle_alpha 90.00
_cell_angle_beta 90.00
_cell_angle_gamma 120.00
_symmetry_space_group_name_H-M 'R -3 m'
_symmetry_Int_Tables_number 166
_symmetry_space_group_name_Hall '-R 3 2"'
loop_
_atom_site_label
_atom_site_fract_x
_atom_site_fract_y
_atom_site_fract_z
Tb1 0.0000 0.0000 0.0000
Sm1 0.0000 0.0000 0.4144
Hf1 0.0000 0.0000 0.5000

Entry 8:
# Tb2SmHf | the Alexandria database | PBE | relaxed
# **Volume**: 29.26 Å³/atom
# **ΔE to the lowest computed polymorph**: 0.0 meV per atom
# **Magnetic moment**: 0.00 μB/f.u.
# **DFT formation energy**: 0.12 eV per atom
# **Theoretical density**: 9.18 g cm⁻³
data_Tb2SmHf
_chemical_formula_sum 'Tb6 Sm3 Hf3'
_cell_length_a 3.4565
_cell_length_b 3.4565
_cell_length_c 33.9307
_cell_angle_alpha 90.00
_cell_angle_beta 90.00
_cell_angle_gamma 120.00
_symmetry_space_group_name_H-M 'R 3 m'
_symmetry_Int_Tables_number 160
_symmetry_space_group_name_Hall 'R 3 -2"'
loop_
_atom_site_label
_atom_site_fract_x
_atom_site_fract_y
_atom_site_fract_z
Tb1 0.0000 0.0000 0.0000
Tb2 0.0000 0.0000 0.1790
Sm1 0.0000 0.0000 0.7564
Hf1 0.0000 0.0000 0.5897

Entry 9:
# TbSmHfTh | the Alexandria database | PBE | relaxed
# **Volume**: 29.27 Å³/atom
# **Magnetic moment**: 0.00 μB/f.u.
# **DFT formation energy**: 0.22 eV per atom
# **Theoretical density**: 10.21 g cm⁻³
data_TbSmHfTh
_chemical_formula_sum 'Tb4 Sm4 Hf4 Th4'
_cell_length_a 7.765
_cell_length_b 7.765
_cell_length_c 7.765
_cell_angle_alpha 90.00
_cell_angle_beta 90.00
_cell_angle_gamma 90.00
_symmetry_space_group_name_H-M 'F -4 3 m'
_symmetry_Int_Tables_number 216
_symmetry_space_group_name_Hall 'F -4 2 3'
loop_
_atom_site_label
_atom_site_fract_x
_atom_site_fract_y
_atom_site_fract_z
Tb1 0.000 0.000 0.000
Sm1 0.250 0.250 0.250
Hf1 0.000 0.000 0.500
Th1 0.250 0.250 0.750

Entry 10:
# SmHf2Tc | the Alexandria database | PBE | relaxed
# **Volume**: 22.47 Å³/atom
# **Magnetic moment**: 0.00 μB/f.u.
# **DFT formation energy**: -0.16 eV per atom
# **Theoretical density**: 11.18 g cm⁻³
data_SmHf2Tc
_chemical_formula_sum 'Sm1 Hf2 Tc1'
_cell_length_a 3.314
_cell_length_b 3.314
_cell_length_c 8.185
_cell_angle_alpha 90.00
_cell_angle_beta 90.00
_cell_angle_gamma 90.00
_symmetry_space_group_name_H-M 'P 4/m m m'
_symmetry_Int_Tables_number 123
_symmetry_space_group_name_Hall '-P 4 2'
loop_
_atom_site_label
_atom_site_fract_x
_atom_site_fract_y
_atom_site_fract_z
Sm1 0.000 0.000 0.000
Hf1 0.500 0.500 0.312
Tc1 0.000 0.000 0.500

Entry 11:
# SmHfZnTc | the Alexandria database | PBE | relaxed
# **Volume**: 20.01 Å³/atom
# **Magnetic moment**: 0.00 μB/f.u.
# **DFT formation energy**: -0.10 eV per atom
# **Theoretical density**: 10.21 g cm⁻³
data_SmHfZnTc
_chemical_formula_sum 'Sm4 Hf4 Zn4 Tc4'
_cell_length_a 6.841
_cell_length_b 6.841
_cell_length_c 6.841
_cell_angle_alpha 90.00
_cell_angle_beta 90.00
_cell_angle_gamma 90.00
_symmetry_space_group_name_H-M 'F -4 3 m'
_symmetry_Int_Tables_number 216
_symmetry_space_group_name_Hall 'F -4 2 3'
loop_
_atom_site_label
_atom_site_fract_x
_atom_site_fract_y
_atom_site_fract_z
Sm1 0.000 0.000 0.000
Hf1 0.000 0.000 0.500
Zn1 0.250 0.250 0.750
Tc1 0.250 0.250 0.250

Entry 12:
# Sm2HfTe | the Alexandria database | PBE | relaxed
# **Volume**: 31.40 Å³/atom
# **Magnetic moment**: 1.16 μB/f.u.
# **Formation energy (no corrections)**: 0.27 eV per formula unit
# **Theoretical density**: 8.02 g cm⁻³
data_Sm2HfTe
_chemical_formula_sum 'Sm6 Hf3 Te3'
_cell_length_a 3.7166
_cell_length_b 3.7166
_cell_length_c 31.4941
_cell_angle_alpha 90.00
_cell_angle_beta 90.00
_cell_angle_gamma 120.00
_symmetry_space_group_name_H-M 'R -3 m'
_symmetry_Int_Tables_number 166
_symmetry_space_group_name_Hall '-R 3 2"'
loop_
_atom_site_label
_atom_site_fract_x
_atom_site_fract_y
_atom_site_fract_z
Sm1 0.0000 0.0000 0.0969
Hf1 0.0000 0.0000 0.0000
Te1 0.0000 0.0000 0.5000